{"formula": "Ac3Pr2PuSe6", "functional": "PBE-GGA", "state": "relaxed", "e_form_raw_ev_per_atom": -1.8023, "sg": "C2/m", "n_ef_per_ev_cell": 15.56, "lattice_angstrom": [[3.760, -6.512, 0.000], [3.760, 6.512, 0.000], [-2.503, 0.000, 7.128]], "species": ["Ac", "Ac", "Ac", "Pr", "Pr", "Pu", "Se", "Se", "Se", "Se", "Se", "Se"], "fractional_positions": [[0.000, 0.000, 0.000], [0.331, 0.669, 0.000], [0.669, 0.331, 0.000], [0.167, 0.833, 0.500], [0.833, 0.167, 0.500], [0.500, 0.500, 0.500], [0.095, 0.422, 0.266], [0.252, 0.252, 0.737], [0.422, 0.095, 0.266], [0.578, 0.905, 0.734], [0.748, 0.748, 0.263], [0.905, 0.578, 0.734]]}



{"formula": "NaSn2Pb", "functional": "PBE-GGA", "state": "relaxed", "dft_energy_ev_per_cell": -26.89, "sg": "P2_1/m", "n_ef_per_ev_cell": 2.62, "lattice_angstrom": [[4.714, 0.000, 0.000], [0.000, 4.661, 0.000], [-0.036, 0.000, 10.136]], "species": ["Na", "Na", "Sn", "Sn", "Sn", "Sn", "Pb", "Pb"], "fractional_positions": [[0.249, 0.250, 0.250], [0.751, 0.750, 0.750], [0.249, 0.750, 0.999], [0.251, 0.750, 0.501], [0.749, 0.250, 0.499], [0.751, 0.250, 0.001], [0.250, 0.250, 0.750], [0.750, 0.750, 0.250]]}



{"formula": "BaPmCu2F8", "functional": "PBE-GGA", "state": "relaxed", "e_form_raw_ev_per_atom": -2.7667, "sg": "R-3", "n_ef_per_ev_cell": 11.20, "lattice_angstrom": [[3.055, 1.764, 5.607], [-3.055, 1.764, 5.607], [0.000, -3.528, 5.607]], "species": ["Ba", "Pm", "Cu", "Cu", "F", "F", "F", "F", "F", "F", "F", "F"], "fractional_positions": [[0.000, 0.000, 0.000], [0.500, 0.500, 0.500], [0.237, 0.237, 0.237], [0.763, 0.763, 0.763], [0.098, 0.429, 0.805], [0.195, 0.902, 0.571], [0.354, 0.354, 0.354], [0.429, 0.805, 0.098], [0.571, 0.195, 0.902], [0.646, 0.646, 0.646], [0.805, 0.098, 0.429], [0.902, 0.571, 0.195]]}



{"formula": "Nd3SmCo2", "functional": "PBE-GGA", "state": "relaxed", "dft_energy_ev_per_cell": -67.20, "sg": "C2/m", "n_ef_per_ev_cell": 16.35, "lattice_angstrom": [[8.527, -1.902, 0.000], [8.527, 1.902, 0.000], [-6.964, 0.000, 9.915]], "species": ["Nd", "Nd", "Nd", "Nd", "Nd", "Nd", "Sm", "Sm", "Co", "Co", "Co", "Co"], "fractional_positions": [[0.084, 0.084, 0.445], [0.085, 0.085, 0.943], [0.341, 0.341, 0.749], [0.659, 0.659, 0.251], [0.915, 0.915, 0.057], [0.916, 0.916, 0.555], [0.340, 0.340, 0.247], [0.660, 0.660, 0.753], [0.265, 0.265, 0.453], [0.266, 0.266, 0.954], [0.734, 0.734, 0.046], [0.735, 0.735, 0.547]]}



Number 1: calculated volume 29.09 A^3/atom. Number 2: calculated volume 27.84 A^3/atom. Number 3: calculated volume 15.11 A^3/atom. Number 4: calculated volume 26.80 A^3/atom.